# LiPaAgS3 | Alexandria via LeMat-Bulk | GGA-PBE | optimized geometry
data_LiPaAgS3
_chemical_formula_sum 'Li2 Pa2 Ag2 S6'
_space_group_name_H-M_alt 'P 1 21/m 1'
_space_group_IT_number 11
_space_group_name_Hall '-P 2yb'
_cell_length_a 8.256
_cell_length_b 3.774
_cell_length_c 8.537
_cell_angle_alpha 90.00
_cell_angle_beta 105.55
_cell_angle_gamma 90.00
loop_
_atom_site_label
_atom_site_type_symbol
_atom_site_fract_x
_atom_site_fract_y
_atom_site_fract_z
_atom_site_occupancy
Li1 Li 0.103 0.250 0.110 1
Pa1 Pa 0.290 0.750 0.819 1
Ag1 Ag 0.281 0.750 0.403 1
S1 S 0.015 0.250 0.788 1
S2 S 0.367 0.250 0.065 1
S3 S 0.376 0.250 0.622 1
# Size of the total moment = 2.02 μB per cell
# Formation energy from raw total energies = -6.542 eV per formula unit
# ρ = 5.73 Mg/m³
# VASP energy = -5.531 eV/atom

---

# SiRu3F | Alexandria via LeMat-Bulk | GGA-PBE | optimized geometry
data_SiRu3F
_chemical_formula_sum 'Si1 Ru3 F1'
_space_group_name_H-M_alt 'P m -3 m'
_space_group_IT_number 221
_space_group_name_Hall '-P 4 2 3'
_cell_length_a 4.135
_cell_length_b 4.135
_cell_length_c 4.135
_cell_angle_alpha 90.00
_cell_angle_beta 90.00
_cell_angle_gamma 90.00
loop_
_atom_site_label
_atom_site_type_symbol
_atom_site_fract_x
_atom_site_fract_y
_atom_site_fract_z
_atom_site_occupancy
Si1 Si 0.000 0.000 0.000 1
Ru1 Ru 0.000 0.500 0.500 1
F1 F 0.500 0.500 0.500 1
# Size of the total moment = 0.00 μB per cell
# Formation energy from raw total energies = 4.850 eV per formula unit
# ρ = 8.23 Mg/m³
# VASP energy = -6.054 eV/atom
# Offset from the most stable computed form = 0.000 eV/atom

---

# Zn3NiPt2 | Alexandria via LeMat-Bulk | GGA-PBE | optimized geometry
data_Zn3NiPt2
_chemical_formula_sum 'Zn6 Ni2 Pt4'
_space_group_name_H-M_alt 'P -3 m 1'
_space_group_IT_number 164
_space_group_name_Hall '-P 3 2"'
_cell_length_a 4.2732
_cell_length_b 4.2732
_cell_length_c 10.5806
_cell_angle_alpha 90.00
_cell_angle_beta 90.00
_cell_angle_gamma 120.00
loop_
_atom_site_label
_atom_site_type_symbol
_atom_site_fract_x
_atom_site_fract_y
_atom_site_fract_z
_atom_site_occupancy
Zn1 Zn 0.0000 0.0000 0.2440 1
Zn2 Zn 0.3333 0.6667 0.4115 1
Zn3 Zn 0.3333 0.6667 0.9175 1
Ni1 Ni 0.3333 0.6667 0.1651 1
Pt1 Pt 0.0000 0.0000 0.0000 1
Pt2 Pt 0.0000 0.0000 0.5000 1
Pt3 Pt 0.3333 0.6667 0.6710 1
# Size of the total moment = 0.00 μB per cell
# ρ = 12.80 Mg/m³
# DFT formation energy = -0.426 eV per atom
# VASP energy = -4.040 eV/atom
# Offset from the most stable computed form = 0.028 eV/atom

---

# Nd8HoEr2 | Alexandria via LeMat-Bulk | GGA-PBE | optimized geometry
data_Nd8HoEr2
_chemical_formula_sum 'Nd16 Ho2 Er4'
_space_group_name_H-M_alt 'C 1 2/m 1'
_space_group_IT_number 12
_space_group_name_Hall '-C 2y'
_cell_length_a 16.865
_cell_length_b 6.811
_cell_length_c 6.718
_cell_angle_alpha 90.00
_cell_angle_beta 100.26
_cell_angle_gamma 90.00
loop_
_atom_site_label
_atom_site_type_symbol
_atom_site_fract_x
_atom_site_fract_y
_atom_site_fract_z
_atom_site_occupancy
Nd1 Nd 0.087 0.239 0.405 1
Nd2 Nd 0.095 0.000 0.915 1
Nd3 Nd 0.245 0.500 0.321 1
Ho1 Ho 0.000 0.500 0.000 1
Er1 Er 0.196 0.500 0.808 1
# Size of the total moment = 0.00 μB per cell
# ρ = 7.23 Mg/m³
# DFT formation energy = 0.170 eV per atom
# VASP energy = -4.543 eV/atom
# Offset from the most stable computed form = 0.012 eV/atom

---

# ErUFe4 | Alexandria via LeMat-Bulk | GGA-PBE | optimized geometry
data_ErUFe4
_chemical_formula_sum 'Er4 U4 Fe16'
_space_group_name_H-M_alt 'C 1 2/m 1'
_space_group_IT_number 12
_space_group_name_Hall '-C 2y'
_cell_length_a 9.003
_cell_length_b 6.815
_cell_length_c 6.376
_cell_angle_alpha 90.00
_cell_angle_beta 105.87
_cell_angle_gamma 90.00
loop_
_atom_site_label
_atom_site_type_symbol
_atom_site_fract_x
_atom_site_fract_y
_atom_site_fract_z
_atom_site_occupancy
Er1 Er 0.147 0.000 0.246 1
U1 U 0.088 0.500 0.311 1
Fe1 Fe 0.000 0.240 0.500 1
Fe2 Fe 0.117 0.301 0.924 1
Fe3 Fe 0.190 0.000 0.764 1
# Size of the total moment = 16.25 μB per cell
# ρ = 11.10 Mg/m³
# DFT formation energy = -0.014 eV per atom
# VASP energy = -8.297 eV/atom
# Offset from the most stable computed form = 0.021 eV/atom

---

# Ce5NpAs6 | Alexandria via LeMat-Bulk | GGA-PBE | optimized geometry
data_Ce5NpAs6
_chemical_formula_sum 'Ce10 Np2 As12'
_space_group_name_H-M_alt 'C 1 2/m 1'
_space_group_IT_number 12
_space_group_name_Hall '-C 2y'
_cell_length_a 7.256
_cell_length_b 12.568
_cell_length_c 7.294
_cell_angle_alpha 90.00
_cell_angle_beta 109.38
_cell_angle_gamma 90.00
loop_
_atom_site_label
_atom_site_type_symbol
_atom_site_fract_x
_atom_site_fract_y
_atom_site_fract_z
_atom_site_occupancy
Ce1 Ce 0.000 0.000 0.000 1
Ce2 Ce 0.000 0.166 0.500 1
Ce3 Ce 0.000 0.332 0.000 1
Np1 Np 0.000 0.500 0.500 1
As1 As 0.247 0.335 0.748 1
As2 As 0.247 0.500 0.251 1
# Size of the total moment = 7.94 μB per cell
# ρ = 7.34 Mg/m³
# DFT formation energy = -1.285 eV per atom
# VASP energy = -7.160 eV/atom

---

# Li2PbW | Alexandria via LeMat-Bulk | GGA-PBE | optimized geometry
data_Li2PbW
_chemical_formula_sum 'Li2 Pb1 W1'
_space_group_name_H-M_alt 'P 1 2/m 1'
_space_group_IT_number 10
_space_group_name_Hall '-P 2y'
_cell_length_a 2.921
_cell_length_b 4.924
_cell_length_c 5.125
_cell_angle_alpha 90.00
_cell_angle_beta 94.93
_cell_angle_gamma 90.00
loop_
_atom_site_label
_atom_site_type_symbol
_atom_site_fract_x
_atom_site_fract_y
_atom_site_fract_z
_atom_site_occupancy
Li1 Li 0.206 0.000 0.214 1
Pb1 Pb 0.000 0.500 0.500 1
W1 W 0.500 0.500 0.000 1
# Size of the total moment = 0.00 μB per cell
# ρ = 9.15 Mg/m³
# DFT formation energy = 0.523 eV per atom
# VASP energy = -4.599 eV/atom

---

# Y4Ti2Nb2O15 | Alexandria via LeMat-Bulk | GGA-PBE | optimized geometry
data_Y4Ti2Nb2O15
_chemical_formula_sum 'Y8 Ti4 Nb4 O30'
_space_group_name_H-M_alt 'I m m 2'
_space_group_IT_number 44
_space_group_name_Hall 'I 2 -2'
_cell_length_a 7.200
_cell_length_b 7.375
_cell_length_c 10.356
_cell_angle_alpha 90.00
_cell_angle_beta 90.00
_cell_angle_gamma 90.00
loop_
_atom_site_label
_atom_site_type_symbol
_atom_site_fract_x
_atom_site_fract_y
_atom_site_fract_z
_atom_site_occupancy
Y1 Y 0.000 0.243 0.000 1
Y2 Y 0.249 0.000 0.245 1
Ti1 Ti 0.235 0.000 0.737 1
Nb1 Nb 0.000 0.238 0.501 1
O1 O 0.000 0.000 0.119 1
O2 O 0.000 0.000 0.384 1
O3 O 0.000 0.000 0.611 1
O4 O 0.000 0.000 0.845 1
O5 O 0.000 0.500 0.184 1
O6 O 0.000 0.500 0.579 1
O7 O 0.000 0.500 0.878 1
O8 O 0.204 0.302 0.384 1
O9 O 0.231 0.229 0.635 1
# Size of the total moment = 0.00 μB per cell
# Formation energy from raw total energies = -72.084 eV per formula unit
# ρ = 5.30 Mg/m³
# VASP energy = -9.054 eV/atom

---

# Ba2Na2In | Alexandria via LeMat-Bulk | GGA-PBE | optimized geometry
data_Ba2Na2In
_chemical_formula_sum 'Ba4 Na4 In2'
_space_group_name_H-M_alt 'I 4/m m m'
_space_group_IT_number 139
_space_group_name_Hall '-I 4 2'
_cell_length_a 4.431
_cell_length_b 4.431
_cell_length_c 22.362
_cell_angle_alpha 90.00
_cell_angle_beta 90.00
_cell_angle_gamma 90.00
loop_
_atom_site_label
_atom_site_type_symbol
_atom_site_fract_x
_atom_site_fract_y
_atom_site_fract_z
_atom_site_occupancy
Ba1 Ba 0.000 0.000 0.089 1
Na1 Na 0.000 0.500 0.250 1
In1 In 0.000 0.000 0.500 1
# Size of the total moment = 0.00 μB per cell
# ρ = 3.29 Mg/m³
# DFT formation energy = -0.114 eV per atom
# VASP energy = -1.958 eV/atom
# Offset from the most stable computed form = 0.081 eV/atom

---

# InNiTeN2 | Alexandria via LeMat-Bulk | GGA-PBE | optimized geometry
data_InNiTeN2
_chemical_formula_sum 'In1 Ni1 Te1 N2'
_space_group_name_H-M_alt 'P 4/m m m'
_space_group_IT_number 123
_space_group_name_Hall '-P 4 2'
_cell_length_a 3.942
_cell_length_b 3.942
_cell_length_c 5.304
_cell_angle_alpha 90.00
_cell_angle_beta 90.00
_cell_angle_gamma 90.00
loop_
_atom_site_label
_atom_site_type_symbol
_atom_site_fract_x
_atom_site_fract_y
_atom_site_fract_z
_atom_site_occupancy
In1 In 0.000 0.000 0.000 1
Ni1 Ni 0.500 0.500 0.500 1
Te1 Te 0.500 0.500 0.000 1
N1 N 0.000 0.500 0.500 1
# Size of the total moment = 2.90 μB per cell
# Formation energy from raw total energies = 6.025 eV per formula unit
# ρ = 6.63 Mg/m³
# VASP energy = -4.457 eV/atom
# Offset from the most stable computed form = 0.000 eV/atom